[1]
# DyTiTe2 (GGA-PBE, relaxed)
data_DyTiTe2
_chemical_formula_sum 'Dy3 Ti3 Te6'
_symmetry_space_group_name_H-M 'P 1'
_symmetry_Int_Tables_number 1
_cell_length_a 3.8002
_cell_length_b 3.8002
_cell_length_c 28.6558
_cell_angle_alpha 90.00
_cell_angle_beta 90.00
_cell_angle_gamma 120.00
loop_
_symmetry_equiv_pos_as_xyz
'x,y,z'
loop_
_atom_site_label
_atom_site_type_symbol
_atom_site_fract_x
_atom_site_fract_y
_atom_site_fract_z
_atom_site_occupancy
Dy1 Dy 0.0000 0.0000 0.0000 1
Dy2 Dy 0.3333 0.6667 0.6667 1
Dy3 Dy 0.6667 0.3333 0.3333 1
Ti1 Ti 0.0000 0.0000 0.5000 1
Ti2 Ti 0.3333 0.6667 0.1667 1
Ti3 Ti 0.6667 0.3333 0.8333 1
Te1 Te 0.0000 0.0000 0.1067 1
Te2 Te 0.0000 0.0000 0.8933 1
Te3 Te 0.3333 0.6667 0.5600 1
Te4 Te 0.3333 0.6667 0.7734 1
Te5 Te 0.6667 0.3333 0.2266 1
Te6 Te 0.6667 0.3333 0.4400 1
# Space-group type ... No. 166
# Electronic total energy ... -5.206 eV per atom
# Magnetization ... 1.4 μB/cell
# Raw formation energy ... -0.511 eV/atom
# V ... 29.87 A^3/atom


[2]
# AcY2Ir9 (GGA-PBE, relaxed)
data_AcY2Ir9
_chemical_formula_sum 'Ac1 Y2 Ir9'
_symmetry_space_group_name_H-M 'P 1'
_symmetry_Int_Tables_number 1
_cell_length_a 9.3001
_cell_length_b 9.3001
_cell_length_c 9.3001
_cell_angle_alpha 33.71
_cell_angle_beta 33.71
_cell_angle_gamma 33.71
loop_
_symmetry_equiv_pos_as_xyz
'x,y,z'
loop_
_atom_site_label
_atom_site_type_symbol
_atom_site_fract_x
_atom_site_fract_y
_atom_site_fract_z
_atom_site_occupancy
Ac1 Ac 0.0000 0.0000 0.0000 1
Y1 Y 0.1402 0.1402 0.1402 1
Y2 Y 0.8598 0.8598 0.8598 1
Ir1 Ir 0.0835 0.5830 0.5830 1
Ir2 Ir 0.3328 0.3328 0.3328 1
Ir3 Ir 0.4170 0.4170 0.9165 1
Ir4 Ir 0.4170 0.9165 0.4170 1
Ir5 Ir 0.5000 0.5000 0.5000 1
Ir6 Ir 0.5830 0.0835 0.5830 1
Ir7 Ir 0.5830 0.5830 0.0835 1
Ir8 Ir 0.6672 0.6672 0.6672 1
Ir9 Ir 0.9165 0.4170 0.4170 1
# Space-group type ... No. 166
# Electronic total energy ... -8.603 eV per atom
# Magnetization ... 0.0 μB/cell
# V ... 18.40 A^3/atom
# DFT formation energy ... -0.537 eV per atom


[3]
# Cs3FeH (GGA-PBE, relaxed)
data_Cs3FeH
_chemical_formula_sum 'Cs3 Fe1 H1'
_symmetry_space_group_name_H-M 'P 1'
_symmetry_Int_Tables_number 1
_cell_length_a 6.1382
_cell_length_b 6.1382
_cell_length_c 6.1382
_cell_angle_alpha 90.00
_cell_angle_beta 90.00
_cell_angle_gamma 90.00
loop_
_symmetry_equiv_pos_as_xyz
'x,y,z'
loop_
_atom_site_label
_atom_site_type_symbol
_atom_site_fract_x
_atom_site_fract_y
_atom_site_fract_z
_atom_site_occupancy
Cs1 Cs 0.0000 0.0000 0.5000 1
Cs2 Cs 0.0000 0.5000 0.0000 1
Cs3 Cs 0.5000 0.0000 0.0000 1
Fe1 Fe 0.5000 0.5000 0.5000 1
H1 H 0.0000 0.0000 0.0000 1
# Space-group type ... No. 221
# Electronic total energy ... -2.288 eV per atom
# Distance to the lowest polymorph of the same formula ... 0.00 kcal/mol of atoms
# Magnetization ... 2.4 μB/cell
# V ... 46.25 A^3/atom


[4]
# Th2Te2MoBr4 (GGA-PBE, relaxed)
data_Th2Te2MoBr4
_chemical_formula_sum 'Th2 Te2 Mo1 Br4'
_symmetry_space_group_name_H-M 'P 1'
_symmetry_Int_Tables_number 1
_cell_length_a 3.7064
_cell_length_b 3.7064
_cell_length_c 24.6435
_cell_angle_alpha 90.00
_cell_angle_beta 90.00
_cell_angle_gamma 120.00
loop_
_symmetry_equiv_pos_as_xyz
'x,y,z'
loop_
_atom_site_label
_atom_site_type_symbol
_atom_site_fract_x
_atom_site_fract_y
_atom_site_fract_z
_atom_site_occupancy
Th1 Th 0.0000 0.0000 0.0000 1
Th2 Th 0.3333 0.6667 0.3332 1
Te1 Te 0.0000 0.0000 0.6068 1
Te2 Te 0.0000 0.0000 0.7493 1
Mo1 Mo 0.3333 0.6667 0.6780 1
Br1 Br 0.0000 0.0000 0.2455 1
Br2 Br 0.0000 0.0000 0.4209 1
Br3 Br 0.3333 0.6667 0.0877 1
Br4 Br 0.3333 0.6667 0.9124 1
# Space-group type ... No. 156
# Electronic total energy ... -5.309 eV per atom
# Magnetization ... 0.0 μB/cell
# Raw formation energy ... -1.015 eV/atom
# V ... 32.58 A^3/atom


[5]
# Pm2PuTl9 (GGA-PBE, relaxed)
data_Pm2PuTl9
_chemical_formula_sum 'Pm2 Pu1 Tl9'
_symmetry_space_group_name_H-M 'P 1'
_symmetry_Int_Tables_number 1
_cell_length_a 4.7997
_cell_length_b 4.7997
_cell_length_c 14.4491
_cell_angle_alpha 90.00
_cell_angle_beta 90.00
_cell_angle_gamma 90.00
loop_
_symmetry_equiv_pos_as_xyz
'x,y,z'
loop_
_atom_site_label
_atom_site_type_symbol
_atom_site_fract_x
_atom_site_fract_y
_atom_site_fract_z
_atom_site_occupancy
Pm1 Pm 0.0000 0.0000 0.1652 1
Pm2 Pm 0.0000 0.0000 0.8348 1
Pu1 Pu 0.0000 0.0000 0.5000 1
Tl1 Tl 0.0000 0.5000 0.0000 1
Tl2 Tl 0.0000 0.5000 0.3345 1
Tl3 Tl 0.0000 0.5000 0.6655 1
Tl4 Tl 0.5000 0.0000 0.0000 1
Tl5 Tl 0.5000 0.0000 0.3345 1
Tl6 Tl 0.5000 0.0000 0.6655 1
Tl7 Tl 0.5000 0.5000 0.1682 1
Tl8 Tl 0.5000 0.5000 0.5000 1
Tl9 Tl 0.5000 0.5000 0.8318 1
# Space-group type ... No. 123
# Electronic total energy ... -3.976 eV per atom
# Magnetization ... 5.6 μB/cell
# V ... 27.74 A^3/atom
# DFT formation energy ... -0.215 eV per atom


[6]
# MoP3N (GGA-PBE, relaxed)
data_MoP3N
_chemical_formula_sum 'Mo1 P3 N1'
_symmetry_space_group_name_H-M 'P 1'
_symmetry_Int_Tables_number 1
_cell_length_a 3.9832
_cell_length_b 3.9832
_cell_length_c 3.9832
_cell_angle_alpha 90.00
_cell_angle_beta 90.00
_cell_angle_gamma 90.00
loop_
_symmetry_equiv_pos_as_xyz
'x,y,z'
loop_
_atom_site_label
_atom_site_type_symbol
_atom_site_fract_x
_atom_site_fract_y
_atom_site_fract_z
_atom_site_occupancy
Mo1 Mo 0.0000 0.0000 0.0000 1
P1 P 0.0000 0.5000 0.5000 1
P2 P 0.5000 0.0000 0.5000 1
P3 P 0.5000 0.5000 0.0000 1
N1 N 0.5000 0.5000 0.5000 1
# Space-group type ... No. 221
# Electronic total energy ... -6.314 eV per atom
# Distance to the lowest polymorph of the same formula ... 0.00 kcal/mol of atoms
# Magnetization ... 1.1 μB/cell
# Raw formation energy ... 0.764 eV/atom
# V ... 12.64 A^3/atom


[7]
# Ac3Sm2ErTe6 (GGA-PBE, relaxed)
data_Ac3Sm2ErTe6
_chemical_formula_sum 'Ac3 Sm2 Er1 Te6'
_symmetry_space_group_name_H-M 'P 1'
_symmetry_Int_Tables_number 1
_cell_length_a 10.3131
_cell_length_b 10.3131
_cell_length_c 9.3124
_cell_angle_alpha 105.57
_cell_angle_beta 105.57
_cell_angle_gamma 25.10
loop_
_symmetry_equiv_pos_as_xyz
'x,y,z'
loop_
_atom_site_label
_atom_site_type_symbol
_atom_site_fract_x
_atom_site_fract_y
_atom_site_fract_z
_atom_site_occupancy
Ac1 Ac 0.0000 0.0000 0.0000 1
Ac2 Ac 0.3304 0.3304 0.6647 1
Ac3 Ac 0.6696 0.6696 0.3353 1
Sm1 Sm 0.3315 0.3315 0.1638 1
Sm2 Sm 0.6685 0.6685 0.8362 1
Er1 Er 0.0000 0.0000 0.5000 1
Te1 Te 0.1581 0.1581 0.5927 1
Te2 Te 0.1701 0.1701 0.0729 1
Te3 Te 0.4966 0.4966 0.2688 1
Te4 Te 0.5034 0.5034 0.7312 1
Te5 Te 0.8299 0.8299 0.9271 1
Te6 Te 0.8419 0.8419 0.4073 1
# Space-group type ... No. 12
# Electronic total energy ... -5.169 eV per atom
# Magnetization ... 0.0 μB/cell
# Raw formation energy ... -1.405 eV/atom
# V ... 33.66 A^3/atom


[8]
# ScBeRu2 (GGA-PBE, relaxed)
data_ScBeRu2
_chemical_formula_sum 'Sc1 Be1 Ru2'
_symmetry_space_group_name_H-M 'P 1'
_symmetry_Int_Tables_number 1
_cell_length_a 2.9055
_cell_length_b 4.2321
_cell_length_c 4.8327
_cell_angle_alpha 90.00
_cell_angle_beta 104.65
_cell_angle_gamma 90.00
loop_
_symmetry_equiv_pos_as_xyz
'x,y,z'
loop_
_atom_site_label
_atom_site_type_symbol
_atom_site_fract_x
_atom_site_fract_y
_atom_site_fract_z
_atom_site_occupancy
Sc1 Sc 0.0000 0.0000 0.0000 1
Be1 Be 0.5881 0.5000 0.2210 1
Ru1 Ru 0.2587 0.5000 0.6593 1
Ru2 Ru 0.6318 0.0000 0.4747 1
# Space-group type ... No. 6
# Electronic total energy ... -7.296 eV per atom
# Magnetization ... 0.0 μB/cell
# V ... 14.37 A^3/atom
# DFT formation energy ... -0.143 eV per atom


[9]
# Np3Ga5Pt6 (GGA-PBE, relaxed)
data_Np3Ga5Pt6
_chemical_formula_sum 'Np6 Ga10 Pt12'
_symmetry_space_group_name_H-M 'P 1'
_symmetry_Int_Tables_number 1
_cell_length_a 4.3452
_cell_length_b 12.9386
_cell_length_c 9.2272
_cell_angle_alpha 90.00
_cell_angle_beta 90.00
_cell_angle_gamma 90.00
loop_
_symmetry_equiv_pos_as_xyz
'x,y,z'
loop_
_atom_site_label
_atom_site_type_symbol
_atom_site_fract_x
_atom_site_fract_y
_atom_site_fract_z
_atom_site_occupancy
Np1 Np 0.2500 0.0486 0.2479 1
Np2 Np 0.2500 0.4514 0.2479 1
Np3 Np 0.2500 0.7500 0.2631 1
Np4 Np 0.7500 0.2500 0.7369 1
Np5 Np 0.7500 0.5486 0.7521 1
Np6 Np 0.7500 0.9514 0.7521 1
Ga1 Ga 0.2500 0.0810 0.5935 1
Ga2 Ga 0.2500 0.4190 0.5935 1
Ga3 Ga 0.2500 0.6124 0.9793 1
Ga4 Ga 0.2500 0.7500 0.7546 1
Ga5 Ga 0.2500 0.8876 0.9793 1
Ga6 Ga 0.7500 0.1124 0.0207 1
Ga7 Ga 0.7500 0.2500 0.2454 1
Ga8 Ga 0.7500 0.3876 0.0207 1
Ga9 Ga 0.7500 0.5810 0.4065 1
Ga10 Ga 0.7500 0.9190 0.4065 1
Pt1 Pt 0.2500 0.0865 0.8665 1
Pt2 Pt 0.2500 0.2500 0.0721 1
Pt3 Pt 0.2500 0.2500 0.4365 1
Pt4 Pt 0.2500 0.4135 0.8665 1
Pt5 Pt 0.2500 0.6175 0.5411 1
Pt6 Pt 0.2500 0.8825 0.5411 1
Pt7 Pt 0.7500 0.1175 0.4589 1
Pt8 Pt 0.7500 0.3825 0.4589 1
Pt9 Pt 0.7500 0.5865 0.1335 1
Pt10 Pt 0.7500 0.7500 0.5635 1
Pt11 Pt 0.7500 0.7500 0.9279 1
Pt12 Pt 0.7500 0.9135 0.1335 1
# Space-group type ... No. 59
# Electronic total energy ... -7.035 eV per atom
# Magnetization ... 23.2 μB/cell
# V ... 18.53 A^3/atom
# DFT formation energy ... -0.592 eV per atom


[10]
# LaTb5Pr2Sm (GGA-PBE, relaxed)
data_LaTb5Pr2Sm
_chemical_formula_sum 'La2 Tb10 Pr4 Sm2'
_symmetry_space_group_name_H-M 'P 1'
_symmetry_Int_Tables_number 1
_cell_length_a 10.0622
_cell_length_b 10.0622
_cell_length_c 10.0622
_cell_angle_alpha 128.20
_cell_angle_beta 128.20
_cell_angle_gamma 76.31
loop_
_symmetry_equiv_pos_as_xyz
'x,y,z'
loop_
_atom_site_label
_atom_site_type_symbol
_atom_site_fract_x
_atom_site_fract_y
_atom_site_fract_z
_atom_site_occupancy
La1 La 0.2500 0.2500 0.0000 1
La2 La 0.7500 0.7500 0.0000 1
Tb1 Tb 0.0000 0.0000 0.0000 1
Tb2 Tb 0.0712 0.5712 0.9174 1
Tb3 Tb 0.1538 0.0712 0.5000 1
Tb4 Tb 0.3462 0.8462 0.9174 1
Tb5 Tb 0.4288 0.3462 0.5000 1
Tb6 Tb 0.5000 0.5000 0.0000 1
Tb7 Tb 0.5712 0.6538 0.5000 1
Tb8 Tb 0.6538 0.1538 0.0826 1
Tb9 Tb 0.8462 0.9288 0.5000 1
Tb10 Tb 0.9288 0.4288 0.0826 1
Pr1 Pr 0.1185 0.3815 0.5000 1
Pr2 Pr 0.3815 0.8815 0.2629 1
Pr3 Pr 0.6185 0.1185 0.7371 1
Pr4 Pr 0.8815 0.6185 0.5000 1
Sm1 Sm 0.2500 0.7500 0.5000 1
Sm2 Sm 0.7500 0.2500 0.5000 1
# Space-group type ... No. 140
# Electronic total energy ... -4.460 eV per atom
# Magnetization ... 0.0 μB/cell
# V ... 33.97 A^3/atom
# DFT formation energy ... 0.246 eV per atom


[11]
# Ac6CSe3S2 (GGA-PBE, relaxed)
data_Ac6CSe3S2
_chemical_formula_sum 'Ac6 C1 Se3 S2'
_symmetry_space_group_name_H-M 'P 1'
_symmetry_Int_Tables_number 1
_cell_length_a 7.4974
_cell_length_b 7.4974
_cell_length_c 7.6557
_cell_angle_alpha 99.38
_cell_angle_beta 99.38
_cell_angle_gamma 119.99
loop_
_symmetry_equiv_pos_as_xyz
'x,y,z'
loop_
_atom_site_label
_atom_site_type_symbol
_atom_site_fract_x
_atom_site_fract_y
_atom_site_fract_z
_atom_site_occupancy
Ac1 Ac 0.0740 0.3865 0.2221 1
Ac2 Ac 0.2375 0.2375 0.7756 1
Ac3 Ac 0.3865 0.0740 0.2221 1
Ac4 Ac 0.6135 0.9260 0.7779 1
Ac5 Ac 0.7625 0.7625 0.2244 1
Ac6 Ac 0.9260 0.6135 0.7779 1
C1 C 0.0000 0.0000 0.0000 1
Se1 Se 0.1717 0.8283 0.5000 1
Se2 Se 0.5000 0.5000 0.5000 1
Se3 Se 0.8283 0.1717 0.5000 1
S1 S 0.3337 0.6663 0.0000 1
S2 S 0.6663 0.3337 0.0000 1
# Space-group type ... No. 12
# Electronic total energy ... -5.994 eV per atom
# Magnetization ... 0.0 μB/cell
# Raw formation energy ... -1.612 eV/atom
# V ... 29.37 A^3/atom


[12]
# Sr2ScSi (GGA-PBE, relaxed)
data_Sr2ScSi
_chemical_formula_sum 'Sr8 Sc4 Si4'
_symmetry_space_group_name_H-M 'P 1'
_symmetry_Int_Tables_number 1
_cell_length_a 11.3396
_cell_length_b 11.3396
_cell_length_c 5.2366
_cell_angle_alpha 90.00
_cell_angle_beta 90.00
_cell_angle_gamma 90.00
loop_
_symmetry_equiv_pos_as_xyz
'x,y,z'
loop_
_atom_site_label
_atom_site_type_symbol
_atom_site_fract_x
_atom_site_fract_y
_atom_site_fract_z
_atom_site_occupancy
Sr1 Sr 0.1004 0.2500 0.1250 1
Sr2 Sr 0.2500 0.6004 0.3750 1
Sr3 Sr 0.2500 0.8996 0.8750 1
Sr4 Sr 0.3996 0.2500 0.6250 1
Sr5 Sr 0.6004 0.7500 0.6250 1
Sr6 Sr 0.7500 0.1004 0.8750 1
Sr7 Sr 0.7500 0.3996 0.3750 1
Sr8 Sr 0.8996 0.7500 0.1250 1
Sc1 Sc 0.0000 0.0000 0.5000 1
Sc2 Sc 0.0000 0.5000 0.7500 1
Sc3 Sc 0.5000 0.0000 0.2500 1
Sc4 Sc 0.5000 0.5000 0.0000 1
Si1 Si 0.0000 0.0000 0.0000 1
Si2 Si 0.0000 0.5000 0.2500 1
Si3 Si 0.5000 0.0000 0.7500 1
Si4 Si 0.5000 0.5000 0.5000 1
# Space-group type ... No. 122
# Electronic total energy ... -3.666 eV per atom
# Magnetization ... 3.9 μB/cell
# Raw formation energy ... 0.113 eV/atom
# V ... 42.08 A^3/atom